A plane-wave DFT calculation with PBE was carried out for a relaxed structure of CaTiAsO5.

Computed properties:
ΔE to the lowest computed polymorph: 87 meV per atom
space-group type: C2/c
energy relative to the elements, uncorrected: -2302 meV per atom

abc: 5.7037 5.7037 7.4215
angles: 105.48 105.48 104.50
With the nearest neighbours (Å) after each atom.
Fractional positions:
Ca: 0.3156 0.6844 0.2500  7 O 2.34-2.53
Ca: 0.6844 0.3156 0.7500  7 O 2.34-2.53
Ti: 0.0000 0.0000 0.5000  6 O 1.92-2.06
Ti: 0.0000 0.0000 0.0000  6 O 1.92-2.06
As: 0.6819 0.3181 0.2500  4 O 1.78-1.86
As: 0.3181 0.6819 0.7500  4 O 1.78-1.86
O: 0.0558 0.9442 0.2500  2 Ti 1.92
O: 0.9442 0.0558 0.7500  2 Ti 1.92
O: 0.8873 0.3127 0.0926  1 As 1.86, 1 Ti 2.06
O: 0.1127 0.6873 0.9074  1 As 1.86, 1 Ti 2.06
O: 0.6873 0.1127 0.4074  1 As 1.86, 1 Ti 2.06
O: 0.3127 0.8873 0.5926  1 As 1.86, 1 Ti 2.06
O: 0.7395 0.6398 0.4056  1 As 1.78
O: 0.2605 0.3602 0.5944  1 As 1.78
O: 0.3602 0.2605 0.0944  1 As 1.78
O: 0.6398 0.7395 0.9056  1 As 1.78

A plane-wave DFT calculation with PBE was carried out for a relaxed structure of Pm3NpRu8.

Computed properties:
space-group type: R3m
DFT formation energy: -119 meV/atom

abc: 5.3671 5.3687 9.3418
angles: 73.30 73.28 59.99
With the nearest neighbours (Å) after each atom.
Fractional positions:
Pm: 0.6252 0.6251 0.1247  12 Ru 3.15-3.20, 4 Pm 3.29-3.30
Pm: 0.0001 0.0000 0.0000  12 Ru 3.15-3.20, 3 Pm 3.29, 1 Np 3.30
Pm: 0.5005 0.5002 0.4992  12 Ru 3.13-3.15, 3 Np 3.29, 1 Pm 3.30
Np: 0.1250 0.1249 0.6252  12 Ru 3.12-3.15, 4 Pm 3.29-3.30
Ru: 0.5630 0.0661 0.8081  6 Ru 2.66-2.72
Ru: 0.0629 0.5576 0.3169  6 Ru 2.65-2.72
Ru: 0.5629 0.5628 0.8082  6 Ru 2.66-2.72
Ru: 0.0629 0.0626 0.3169  6 Ru 2.65-2.72
Ru: 0.8120 0.8122 0.5635  6 Ru 2.66-2.68
Ru: 0.3127 0.3126 0.0621  6 Ru 2.72
Ru: 0.0660 0.5630 0.8081  6 Ru 2.66-2.72
Ru: 0.5569 0.0630 0.3171  6 Ru 2.65-2.72

A plane-wave DFT calculation with PBE was carried out for a relaxed structure of PrGa2Ru2C.

Computed properties:
space-group type: P4/mmm
DFT formation energy: -408 meV/atom

abc: 4.1293 4.1293 5.6759
angles: 90.00 90.00 90.00
With the nearest neighbours (Å) after each atom.
Fractional positions:
Pr: 0.0000 0.0000 0.5000  2 C 2.84
Ga: 0.5000 0.5000 0.7217  1 Ga 2.52, 4 Ru 2.60
Ga: 0.5000 0.5000 0.2783  1 Ga 2.52, 4 Ru 2.60
Ru: 0.5000 0.0000 0.0000  2 C 2.06
Ru: 0.0000 0.5000 0.0000  2 C 2.06
C: 0.0000 0.0000 0.0000  4 Ru 2.06

A plane-wave DFT calculation with PBE was carried out for a relaxed structure of HfVP2.

Computed properties:
ΔE to the lowest computed polymorph: 590 meV per atom
space-group type: I-42d
DFT formation energy: -316 meV/atom

abc: 5.5302 5.5302 6.9593
angles: 66.59 66.59 90.00
With the nearest neighbours (Å) after each atom.
Fractional positions:
P: 0.5972 0.1250 0.2500  2 V 2.34, 2 Hf 2.52
P: 0.1528 0.6250 0.2500  2 V 2.34, 2 Hf 2.52
P: 0.3750 0.4028 0.7500  2 V 2.34, 2 Hf 2.52
P: 0.8750 0.8472 0.7500  2 V 2.34, 2 Hf 2.52
Hf: 0.0000 0.0000 0.0000  4 P 2.52
Hf: 0.7500 0.2500 0.5000  4 P 2.52
V: 0.5000 0.5000 0.0000  4 P 2.34
V: 0.2500 0.7500 0.5000  4 P 2.34

A plane-wave DFT calculation with PBE was carried out for a relaxed structure of PuIn4AgPd2.

Computed properties:
space-group type: R-3m
DFT formation energy: -234 meV/atom

abc: 4.6653 4.6653 9.5696
angles: 75.89 75.89 60.00
With the nearest neighbours (Å) after each atom.
Fractional positions:
Pu: 0.0000 0.0000 0.0000  8 In 3.17-3.48
In: 0.3937 0.3937 0.8188  3 Pd 2.87, 1 Ag 2.93, 3 Pu 3.17
In: 0.8738 0.8738 0.3786  4 Pd 2.82-3.06, 3 Ag 2.91
In: 0.1262 0.1262 0.6214  4 Pd 2.82-3.06, 3 Ag 2.91
In: 0.6063 0.6063 0.1812  3 Pd 2.87, 1 Ag 2.93, 3 Pu 3.17
Ag: 0.5000 0.5000 0.5000  8 In 2.91-2.93
Pd: 0.7628 0.7628 0.7116  7 In 2.82-3.06
Pd: 0.2372 0.2372 0.2884  7 In 2.82-3.06

A plane-wave DFT calculation with PBE was carried out for a relaxed structure of RbScV2.

Computed properties:
ΔE to the lowest computed polymorph: 148 meV per atom
space-group type: I-42d
DFT formation energy: 1601 meV/atom

abc: 4.5474 4.5474 10.9630
angles: 78.03 78.03 90.00
With the nearest neighbours (Å) after each atom.
Fractional positions:
Sc: 0.5000 0.5000 0.0000  4 V 2.86
Sc: 0.2500 0.7500 0.5000  4 V 2.86
Rb: 0.0000 0.0000 0.0000  4 Sc 3.22, 4 V 3.60
Rb: 0.7500 0.2500 0.5000  4 Sc 3.22, 4 V 3.60
V: 0.3948 0.1250 0.2500  2 V 2.28
V: 0.3552 0.6250 0.2500  2 V 2.28
V: 0.3750 0.6052 0.7500  2 V 2.28
V: 0.8750 0.6448 0.7500  2 V 2.28

A plane-wave DFT calculation with PBE was carried out for a relaxed structure of Y2ScW.

Computed properties:
ΔE to the lowest computed polymorph: 141 meV per atom
space-group type: I4/mmm
DFT formation energy: 443 meV/atom

abc: 5.4617 5.4617 5.4617
angles: 128.90 128.90 75.16
With the nearest neighbours (Å) after each atom.
Fractional positions:
Sc: 0.2500 0.7500 0.5000  8 Y 3.20, 4 W 3.33
W: 0.7500 0.2500 0.5000  8 Y 3.20, 4 Sc 3.33
Y: 0.0000 0.0000 0.0000  4 Sc 3.20, 4 W 3.20, 4 Y 3.33
Y: 0.5000 0.5000 0.0000  4 W 3.20, 4 Sc 3.20, 4 Y 3.33

A plane-wave DFT calculation with PBE was carried out for a relaxed structure of SrLi2Ho.

Computed properties:
ΔE to the lowest computed polymorph: 47 meV per atom
space-group type: Fm-3m
DFT formation energy: 188 meV/atom

abc: 5.5667 5.5667 5.5667
angles: 60.00 60.00 60.00
With the nearest neighbours (Å) after each atom.
Fractional positions:
Sr: 0.5000 0.5000 0.5000  8 Li 3.41
Ho: 0.0000 0.0000 0.0000  8 Li 3.41
Li: 0.2500 0.2500 0.2500  4 Sr 3.41, 4 Ho 3.41
Li: 0.7500 0.7500 0.7500  4 Sr 3.41, 4 Ho 3.41